Run 1
A relaxed structure of TiTeAsI2. Source: Alexandria via LeMat-Bulk, functional PBE.

Cell lengths 5.5276, 5.5276, 5.4817 Å; angles 90.00, 90.00, 90.00 degrees
Closest atoms and distances in Å follow each position.
Fractional coordinates of all 5 atoms:
I 0.0000 0.5000 0.0000  2 Ti 2.76
I 0.5000 0.0000 0.0000  2 Ti 2.76
As 0.5000 0.5000 0.5000  8 I 3.89, 4 Te 3.91
Te 0.0000 0.0000 0.5000  2 Ti 2.74
Ti 0.0000 0.0000 0.0000  2 Te 2.74, 4 I 2.76

Calculated values
- density (g cm⁻³) = 5.0
- M_tot (μB per cell) = 3.02
- symmetry = P4/mmm, No. 123
- density of states at the Fermi level (states/eV/f.u.) = 2.73



Run 2
A relaxed structure of TiTeAsI2. Source: Alexandria via LeMat-Bulk, functional PBE.

Cell lengths 5.4861, 5.4861, 5.7049 Å; angles 90.00, 90.00, 90.00 degrees
Closest atoms and distances in Å follow each position.
Fractional coordinates of all 5 atoms:
I 0.0000 0.5000 0.0000  2 As 2.74
I 0.5000 0.0000 0.0000  2 As 2.74
As 0.0000 0.0000 0.0000  4 I 2.74, 2 Te 2.85
Te 0.0000 0.0000 0.5000  2 As 2.85
Ti 0.5000 0.5000 0.5000  4 Te 3.88, 8 I 3.96

Calculated values
- density (g cm⁻³) = 4.9
- M_tot (μB per cell) = 0.03
- symmetry = P4/mmm, No. 123
- density of states at the Fermi level (states/eV/f.u.) = 11.85



Relative energies, unit kJ/mol of atoms: run 1 0.0; run 2 47.8



Run 1
A relaxed structure of TeAsWI2. Source: Alexandria via LeMat-Bulk, functional PBE.

Cell lengths 5.4757, 5.4757, 5.7240 Å; angles 90.00, 90.00, 90.00 degrees
Closest atoms and distances in Å follow each position.
Fractional coordinates of all 5 atoms:
I 0.0000 0.5000 0.0000  2 As 2.74
I 0.5000 0.0000 0.0000  2 As 2.74
As 0.0000 0.0000 0.0000  4 I 2.74, 2 Te 2.86
Te 0.0000 0.0000 0.5000  2 As 2.86
W 0.5000 0.5000 0.5000  4 Te 3.87, 8 I 3.96

Calculated values
- density (g cm⁻³) = 6.2
- M_tot (μB per cell) = 4.20
- symmetry = P4/mmm, No. 123
- density of states at the Fermi level (states/eV/f.u.) = 7.19



Run 2
A relaxed structure of TeAsWI2. Source: Alexandria via LeMat-Bulk, functional PBE.

Cell lengths 5.3780, 5.3780, 5.2945 Å; angles 90.00, 90.00, 90.00 degrees
Closest atoms and distances in Å follow each position.
Fractional coordinates of all 5 atoms:
I 0.0000 0.5000 0.0000  2 W 2.69
I 0.5000 0.0000 0.0000  2 W 2.69
As 0.5000 0.5000 0.5000  8 I 3.77, 4 Te 3.80
Te 0.0000 0.0000 0.5000  2 W 2.65
W 0.0000 0.0000 0.0000  2 Te 2.65, 4 I 2.69

Calculated values
- density (g cm⁻³) = 6.9
- M_tot (μB per cell) = 0.01
- symmetry = P4/mmm, No. 123
- density of states at the Fermi level (states/eV/f.u.) = 6.91



Relative energies, unit kJ/mol of atoms: run 1 45.7; run 2 0.0



Run 1
A relaxed structure of YTeAsI2. Source: Alexandria via LeMat-Bulk, functional PBE.

Cell lengths 5.9221, 5.9221, 6.1184 Å; angles 90.00, 90.00, 90.00 degrees
Closest atoms and distances in Å follow each position.
Fractional coordinates of all 5 atoms:
I 0.0000 0.5000 0.0000  2 Y 2.96
I 0.5000 0.0000 0.0000  2 Y 2.96
Y 0.0000 0.0000 0.0000  4 I 2.96, 2 Te 3.06
As 0.5000 0.5000 0.5000  4 Te 4.19, 8 I 4.26
Te 0.0000 0.0000 0.5000  2 Y 3.06

Calculated values
- density (g cm⁻³) = 4.2
- M_tot (μB per cell) = 1.99
- symmetry = P4/mmm, No. 123
- density of states at the Fermi level (states/eV/f.u.) = 2.38



Run 2
A relaxed structure of YTeAsI2. Source: Alexandria via LeMat-Bulk, functional PBE.

Cell lengths 5.4971, 5.4971, 5.7065 Å; angles 90.00, 90.00, 90.00 degrees
Closest atoms and distances in Å follow each position.
Fractional coordinates of all 5 atoms:
I 0.0000 0.5000 0.0000  2 As 2.75
I 0.5000 0.0000 0.0000  2 As 2.75
Y 0.5000 0.5000 0.5000  4 Te 3.89, 8 I 3.96
As 0.0000 0.0000 0.0000  4 I 2.75, 2 Te 2.85
Te 0.0000 0.0000 0.5000  2 As 2.85

Calculated values
- density (g cm⁻³) = 5.3
- M_tot (μB per cell) = 0.90
- symmetry = P4/mmm, No. 123
- density of states at the Fermi level (states/eV/f.u.) = 3.89



Relative energies, unit kJ/mol of atoms: run 1 0.0; run 2 21.7